## GePd5Pt (PBE)

Data for a relaxed GePd5Pt crystal.

Cell lengths 6.536, 6.536, 7.378 Å; angles 64.72, 64.72, 84.45 degrees
Positions (direct):
Pd 0.832 0.366 0.521
Pd 0.213 0.361 0.178
Pd 0.181 0.819 0.750
Pd 0.634 0.168 0.979
Pd 0.819 0.181 0.250
Pd 0.168 0.634 0.479
Pd 0.639 0.787 0.322
Pd 0.366 0.832 0.021
Pd 0.787 0.639 0.822
Pd 0.361 0.213 0.678
Ge 0.000 0.000 0.500
Ge 0.000 0.000 0.000
Pt 0.530 0.470 0.250
Pt 0.470 0.530 0.750

Summary:
Total magnetization = 0.000 μB/atom
Calculated formation energy = 0.14 eV/atom
N(E_F) = 1.00 states/eV per atom
Crystal system = monoclinic